No. 1
Crystalline CdNiAg2SeS3 at its relaxed geometry. Source: OQMD, functional PBE.

E_tot	-3.6507	eV per atom
theoretical density	5.13	g/cm³

Cell lengths 8.016, 7.950, 6.975 Å; angles 90.00, 125.03, 90.00 degrees
Fractional positions:
Cd 0.000 0.000 0.000
Cd 0.500 0.500 0.000
Ni 0.010 0.500 0.994
Ni 0.510 0.000 0.994
Ag 0.010 0.236 0.514
Ag 0.010 0.764 0.514
Ag 0.510 0.264 0.514
Ag 0.510 0.736 0.514
Se 0.409 0.000 0.242
Se 0.909 0.500 0.242
S 0.339 0.500 0.230
S 0.391 0.221 0.773
S 0.391 0.779 0.773
S 0.839 0.000 0.230
S 0.891 0.279 0.773
S 0.891 0.721 0.773

No. 2
Crystalline Cd2AgO3 at its relaxed geometry. Source: OQMD, functional PBE.

E_tot	-3.8609	eV per atom
theoretical density	8.06	g/cm³

Cell lengths 3.352, 3.352, 8.063 Å; angles 90.00, 90.00, 120.00 degrees
Fractional positions:
Cd 0.333 0.667 0.169
Cd 0.667 0.333 0.831
Ag 0.000 0.000 0.500
O 0.000 0.000 0.000
O 0.333 0.667 0.671
O 0.667 0.333 0.329

No. 3
Crystalline CdAg2O2 at its relaxed geometry. Source: OQMD, functional PBE.

E_tot	-3.5373	eV per atom
theoretical density	6.61	g/cm³

Cell lengths 7.546, 7.546, 4.980 Å; angles 108.23, 108.23, 122.65 degrees
Fractional positions:
Cd 0.126 0.874 0.000
Cd 0.874 0.126 0.000
Ag 0.073 0.073 0.572
Ag 0.214 0.705 0.431
Ag 0.565 0.565 0.140
Ag 0.705 0.214 0.431
O 0.259 0.259 0.121
O 0.541 0.893 0.439
O 0.804 0.804 0.019
O 0.893 0.541 0.439

No. 4
Crystalline Cd2Ag2O5 at its relaxed geometry. Source: OQMD, functional PBE.

E_tot	-3.6071	eV per atom
theoretical density	6.73	g/cm³
ΔE to the lowest computed polymorph	0.35	eV/f.u.

Cell lengths 3.858, 3.858, 8.631 Å; angles 90.00, 90.00, 90.00 degrees
Fractional positions:
Cd 0.000 0.000 0.247
Cd 0.000 0.000 0.753
Ag 0.500 0.500 0.000
Ag 0.500 0.500 0.500
O 0.000 0.000 0.000
O 0.000 0.500 0.363
O 0.000 0.500 0.637
O 0.500 0.000 0.363
O 0.500 0.000 0.637

No. 5
Crystalline Cd2Ag2O5 at its relaxed geometry. Source: OQMD, functional PBE.

E_tot	-3.6465	eV per atom
theoretical density	7.45	g/cm³
ΔE to the lowest computed polymorph	0.00	eV/f.u.

Cell lengths 4.084, 4.084, 6.959 Å; angles 90.00, 90.00, 90.00 degrees
Fractional positions:
Cd 0.000 0.000 0.000
Cd 0.000 0.000 0.500
Ag 0.500 0.500 0.203
Ag 0.500 0.500 0.797
O 0.000 0.500 0.214
O 0.000 0.500 0.786
O 0.500 0.000 0.214
O 0.500 0.000 0.786
O 0.500 0.500 0.500

No. 6
Crystalline CdAg3O4 at its relaxed geometry. Source: OQMD, functional PBE.

E_tot	-3.8432	eV per atom
theoretical density	8.12	g/cm³

Cell lengths 6.585, 9.333, 3.326 Å; angles 90.00, 90.00, 90.00 degrees
Fractional positions:
Cd 0.000 0.000 0.000
Cd 0.500 0.500 0.000
Ag 0.000 0.500 0.000
Ag 0.250 0.250 0.500
Ag 0.250 0.750 0.500
Ag 0.500 0.000 0.000
Ag 0.750 0.250 0.500
Ag 0.750 0.750 0.500
O 0.000 0.248 0.000
O 0.000 0.752 0.000
O 0.244 0.000 0.500
O 0.256 0.500 0.500
O 0.500 0.252 0.000
O 0.500 0.748 0.000
O 0.744 0.500 0.500
O 0.756 0.000 0.500

No. 7
Crystalline CdAgPO at its relaxed geometry. Source: OQMD, functional PBE.

E_tot	-3.5525	eV per atom
theoretical density	6.11	g/cm³
ΔE to the lowest computed polymorph	0.50	eV/f.u.

Cell lengths 4.381, 4.381, 7.571 Å; angles 90.00, 90.00, 90.00 degrees
Fractional positions:
Cd 0.250 0.250 0.067
Cd 0.750 0.750 0.933
Ag 0.250 0.750 0.500
Ag 0.750 0.250 0.500
P 0.250 0.250 0.657
P 0.750 0.750 0.343
O 0.250 0.750 0.000
O 0.750 0.250 0.000

No. 8
Crystalline CdAgPO at its relaxed geometry. Source: OQMD, functional PBE.

E_tot	-3.2980	eV per atom
theoretical density	5.37	g/cm³
ΔE to the lowest computed polymorph	1.51	eV/f.u.

Cell lengths 4.336, 4.336, 8.789 Å; angles 90.00, 90.00, 90.00 degrees
Fractional positions:
Cd 0.250 0.750 0.000
Cd 0.750 0.250 0.000
Ag 0.250 0.250 0.447
Ag 0.750 0.750 0.553
P 0.250 0.250 0.166
P 0.750 0.750 0.834
O 0.250 0.750 0.500
O 0.750 0.250 0.500